# 1
The following is a DFT calculation (PBE) of a geometry-optimized KLi2SeCl structure.

## Properties
The total energy is -0.1289 Ha/atom. The symmetry is I4mm, No. 107. The value obtained for the raw formation energy is -1.456 eV/atom. The crystal system is tetragonal.

Cell lengths 4.221, 4.221, 7.427 Å; angles 106.51, 106.51, 90.00 degrees
Element x y z (fractional)
K 0.522 0.522 0.044
Li 0.744 0.244 0.488
Li 0.244 0.744 0.488
Se 0.145 0.145 0.290
Cl 0.844 0.844 0.689

***

# 2
The following is a DFT calculation (PBE) of a geometry-optimized PrMnS3 structure.

## Properties
The total energy is -0.2335 Ha/atom. The symmetry is Pm-3m, No. 221. The value obtained for the raw formation energy is -1.087 eV/atom. The crystal system is cubic.

Cell lengths 4.646, 4.646, 4.646 Å; angles 90.00, 90.00, 90.00 degrees
Element x y z (fractional)
Pr 0.500 0.500 0.500
S 0.000 0.500 0.000
S 0.000 0.000 0.500
S 0.500 0.000 0.000
Mn 0.000 0.000 0.000

***

# 3
The following is a DFT calculation (PBE) of a geometry-optimized La2NpRhN5 structure.

## Properties
The total energy is -0.3246 Ha/atom. The symmetry is Cmc2_1, No. 36. The value obtained for the raw formation energy is -0.858 eV/atom. The crystal system is orthorhombic.

Cell lengths 3.477, 6.978, 11.088 Å; angles 90.00, 90.00, 104.43 degrees
Element x y z (fractional)
La 0.862 0.724 0.806
La 0.097 0.193 0.685
La 0.138 0.276 0.306
La 0.903 0.807 0.185
Np 0.793 0.587 0.516
Np 0.207 0.413 0.016
Rh 0.526 0.051 0.954
Rh 0.474 0.949 0.454
N 0.362 0.724 0.991
N 0.679 0.359 0.896
N 0.488 0.976 0.778
N 0.278 0.555 0.636
N 0.943 0.886 0.562
N 0.638 0.276 0.491
N 0.321 0.641 0.396
N 0.512 0.024 0.278
N 0.722 0.445 0.136
N 0.057 0.114 0.062

***

# 4
The following is a DFT calculation (PBE) of a geometry-optimized CdSiRh2 structure.

## Properties
The total energy is -0.1952 Ha/atom. The symmetry is I-4m2, No. 119. The value obtained for the raw formation energy is -0.052 eV/atom. The crystal system is tetragonal.

Cell lengths 5.014, 5.014, 5.014 Å; angles 135.56, 135.56, 64.66 degrees
Element x y z (fractional)
Cd 0.750 0.250 0.500
Rh 0.000 0.000 0.000
Rh 0.250 0.750 0.500
Si 0.500 0.500 0.000

***

# 5
The following is a DFT calculation (PBE) of a geometry-optimized Ac3ZnSi4 structure.

## Properties
The total energy is -0.1767 Ha/atom. The symmetry is Immm, No. 71. The value obtained for the raw formation energy is -0.398 eV/atom. The crystal system is orthorhombic.

Cell lengths 4.804, 5.911, 8.802 Å; angles 109.62, 105.84, 90.00 degrees
Element x y z (fractional)
Ac 0.188 0.188 0.377
Ac 0.812 0.812 0.623
Ac 0.000 0.500 0.000
Zn 0.500 0.000 0.000
Si 0.381 0.581 0.762
Si 0.619 0.419 0.238
Si 0.619 0.819 0.238
Si 0.381 0.181 0.762

***

# 6
The following is a DFT calculation (PBE) of a geometry-optimized PuIn2Pb structure.

## Properties
The value obtained for the formation energy is -0.2 kcal/mol of atoms. The total energy is -0.2163 Ha/atom. The symmetry is Fm-3m, No. 225. The crystal system is cubic.

Cell lengths 5.429, 5.429, 5.429 Å; angles 60.00, 60.00, 60.00 degrees
Element x y z (fractional)
Pb 0.500 0.500 0.500
In 0.250 0.250 0.250
In 0.750 0.750 0.750
Pu 0.000 0.000 0.000

***

# 7
The following is a DFT calculation (PBE) of a geometry-optimized Pr3Dy2Tl3 structure.

## Properties
The value obtained for the formation energy is -6.2 kcal/mol of atoms. The total energy is -0.1507 Ha/atom. The symmetry is Immm, No. 71. The crystal system is orthorhombic.

Cell lengths 4.479, 5.111, 11.179 Å; angles 103.21, 101.56, 90.00 degrees
Element x y z (fractional)
Pr 0.621 0.621 0.241
Pr 0.379 0.379 0.759
Pr 0.500 0.000 0.000
Dy 0.737 0.237 0.474
Dy 0.263 0.763 0.526
Tl 0.131 0.131 0.262
Tl 0.000 0.500 0.000
Tl 0.869 0.869 0.738

***

# 8
The following is a DFT calculation (PBE) of a geometry-optimized K4Pm3GeO8 structure.

## Properties
The total energy is -0.2270 Ha/atom. The symmetry is R-3m, No. 166. The value obtained for the raw formation energy is -2.245 eV/atom. The crystal system is trigonal.

Cell lengths 7.057, 7.488, 7.057 Å; angles 118.12, 120.00, 90.00 degrees
Element x y z (fractional)
K 0.500 0.000 0.000
K 0.500 0.000 0.500
K 0.000 0.000 0.000
K 0.000 0.000 0.500
Pm 0.500 0.500 0.000
Pm 0.500 0.500 0.500
Pm 0.000 0.500 0.500
Ge 0.000 0.500 0.000
O 0.221 0.687 0.966
O 0.221 0.687 0.442
O 0.269 0.308 0.539
O 0.746 0.687 0.966
O 0.254 0.313 0.034
O 0.731 0.692 0.461
O 0.779 0.313 0.558
O 0.779 0.313 0.034

***

# 9
The following is a DFT calculation (PBE) of a geometry-optimized BeOs2Rh structure.

## Properties
The value obtained for the formation energy is 7.1 kcal/mol of atoms. The total energy is -0.2968 Ha/atom. The symmetry is Cmmm, No. 65. The crystal system is orthorhombic.

Cell lengths 2.666, 2.666, 8.565 Å; angles 90.00, 90.00, 118.52 degrees
Element x y z (fractional)
Rh 0.500 0.500 0.250
Os 0.000 0.000 0.976
Os 0.000 0.000 0.524
Be 0.500 0.500 0.750

***

# 10
The following is a DFT calculation (PBE) of a geometry-optimized HoTlGe2Cl8 structure.

## Properties
The total energy is -0.1431 Ha/atom. The symmetry is P-1, No. 2. The value obtained for the raw formation energy is -1.313 eV/atom. The crystal system is triclinic.

Cell lengths 6.941, 6.303, 9.068 Å; angles 90.22, 86.18, 85.54 degrees
Element x y z (fractional)
Ho 0.000 0.000 0.000
Tl 0.000 0.000 0.500
Ge 0.445 0.460 0.770
Ge 0.555 0.540 0.230
Cl 0.185 0.787 0.199
Cl 0.692 0.766 0.037
Cl 0.865 0.270 0.216
Cl 0.815 0.213 0.801
Cl 0.308 0.234 0.963
Cl 0.135 0.730 0.784
Cl 0.641 0.725 0.430
Cl 0.359 0.275 0.570

***

# 11
The following is a DFT calculation (PBE) of a geometry-optimized ZrAsIrN2 structure.

## Properties
The total energy is -0.2412 Ha/atom. The symmetry is P4/mmm, No. 123. The value obtained for the raw formation energy is 1.180 eV/atom. The crystal system is tetragonal.

Cell lengths 4.013, 5.804, 4.013 Å; angles 90.00, 90.00, 90.00 degrees
Element x y z (fractional)
As 0.000 0.500 0.000
Ir 0.500 0.500 0.500
Zr 0.000 0.000 0.000
N 0.000 0.000 0.500
N 0.500 0.000 0.000

***

# 12
The following is a DFT calculation (PBE) of a geometry-optimized Zr5Co3 structure.

## Properties
The value obtained for the formation energy is -5.2 kcal/mol of atoms. The total energy is -0.3026 Ha/atom. The symmetry is P6_3/mcm, No. 193. The crystal system is hexagonal.

Cell lengths 7.706, 7.706, 5.593 Å; angles 90.00, 90.00, 120.00 degrees
Element x y z (fractional)
Co 0.602 0.000 0.750
Co 0.398 0.000 0.250
Co 0.398 0.398 0.750
Co 0.000 0.398 0.250
Co 0.602 0.603 0.250
Co 0.000 0.603 0.750
Zr 0.758 0.000 0.250
Zr 0.242 0.000 0.750
Zr 0.242 0.242 0.250
Zr 0.000 0.242 0.750
Zr 0.667 0.333 0.000
Zr 0.667 0.333 0.500
Zr 0.333 0.667 0.000
Zr 0.333 0.667 0.500
Zr 0.758 0.758 0.750
Zr 0.000 0.758 0.250

***

Across the entries above, size of the total moment takes the values 0.000; 0.770; 0.050; 0.000; 0.000; 1.484; 0.000; 0.000; 0.000; 0.000; 0.285; 0.000 μB/atom, respectively.